A plane-wave DFT calculation with PBE-GGA was carried out for a geometry-optimized RbIn2GaFe structure.

abc: 5.098 5.098 4.819
angles: 90.00 90.00 90.00
Fractional positions:
Fe 0.000 0.000 0.000
Ga 0.000 0.000 0.500
Rb 0.500 0.500 0.500
In 0.000 0.500 0.000
In 0.500 0.000 0.000

space-group type: P4/mmm

A plane-wave DFT calculation with PBE-GGA was carried out for a geometry-optimized RbInGa2Fe structure.

abc: 4.793 4.793 5.050
angles: 90.00 90.00 90.00
Fractional positions:
Fe 0.000 0.000 0.000
Ga 0.000 0.500 0.000
Ga 0.500 0.000 0.000
Rb 0.500 0.500 0.500
In 0.000 0.000 0.500

space-group type: P4/mmm

A plane-wave DFT calculation with PBE-GGA was carried out for a geometry-optimized InGa2FeRh structure.

abc: 4.441 4.441 4.827
angles: 90.00 90.00 90.00
Fractional positions:
Rh 0.500 0.500 0.500
Fe 0.000 0.000 0.000
Ga 0.000 0.500 0.000
Ga 0.500 0.000 0.000
In 0.000 0.000 0.500

space-group type: P4/mmm

A plane-wave DFT calculation with PBE-GGA was carried out for a geometry-optimized In2GaFeSb structure.

abc: 5.886 5.182 5.886
angles: 90.00 90.00 90.00
Fractional positions:
Sb 0.000 0.000 0.000
Fe 0.500 0.500 0.500
Ga 0.000 0.500 0.000
In 0.000 0.000 0.500
In 0.500 0.000 0.000

space-group type: P4/mmm
uncorrected formation energy: 5.68 eV per formula unit

A plane-wave DFT calculation with PBE-GGA was carried out for a geometry-optimized SrInGa2Fe structure.

abc: 4.716 4.716 4.976
angles: 90.00 90.00 90.00
Fractional positions:
Sr 0.500 0.500 0.500
Fe 0.000 0.000 0.000
Ga 0.000 0.500 0.000
Ga 0.500 0.000 0.000
In 0.000 0.000 0.500

space-group type: P4/mmm

A plane-wave DFT calculation with PBE-GGA was carried out for a geometry-optimized SrIn2GaFe structure.

abc: 5.026 5.026 4.746
angles: 90.00 90.00 90.00
Fractional positions:
Sr 0.500 0.500 0.500
Fe 0.000 0.000 0.000
Ga 0.000 0.000 0.500
In 0.000 0.500 0.000
In 0.500 0.000 0.000

space-group type: P4/mmm

A plane-wave DFT calculation with PBE-GGA was carried out for a geometry-optimized TlIn2GaFe structure.

abc: 5.044 5.044 4.707
angles: 90.00 90.00 90.00
Fractional positions:
Tl 0.500 0.500 0.500
Fe 0.000 0.000 0.000
Ga 0.000 0.000 0.500
In 0.000 0.500 0.000
In 0.500 0.000 0.000

space-group type: P4/mmm

A plane-wave DFT calculation with PBE-GGA was carried out for a geometry-optimized ZrInGaFe2 structure.

abc: 4.627 5.275 4.627
angles: 90.00 90.00 90.00
Fractional positions:
Fe 0.000 0.000 0.500
Fe 0.500 0.000 0.000
Ga 0.500 0.500 0.500
Zr 0.000 0.500 0.000
In 0.000 0.000 0.000

space-group type: P4/mmm

no.,D(E_F) (states/eV per cell),final energy (eV/atom)
1,1.07,-3.589
2,0.86,-3.690
3,4.31,-4.479
4,6.34,-3.082
5,2.20,-4.025
6,2.49,-3.901
7,1.58,-3.769
8,14.37,-4.639